one | VASP calculation (PBE) on crystalline TmAg2Au2 at its relaxed geometry.

* spin magnetization: 0.0 μB per cell
* space group: C2/m
* calculated volume: 96.1 Å³/cell

abc: 4.181 5.177 5.286
angles: 80.29 66.70 66.18
Sites, in units of the cell vectors:
Tm1 0.000 0.000 0.000
Ag1 0.194 0.206 0.406
Ag2 0.806 0.794 0.594
Au1 0.403 0.394 0.800
Au2 0.597 0.606 0.200


two | VASP calculation (PBE) on crystalline TmAg2Au2 at its relaxed geometry.

* spin magnetization: 0.0 μB per cell
* space group: C2/c
* calculated volume: 193.8 Å³/cell

abc: 5.222 7.871 7.998
angles: 137.62 109.06 90.00
Sites, in units of the cell vectors:
Tm1 0.335 0.750 0.000
Tm2 0.665 0.250 0.000
Ag1 0.271 0.263 0.215
Ag2 0.055 0.237 0.785
Ag3 0.729 0.737 0.785
Ag4 0.945 0.763 0.215
Au1 0.868 0.236 0.382
Au2 0.514 0.736 0.382
Au3 0.132 0.764 0.618
Au4 0.486 0.264 0.618


Bottom line: one, by a margin of 36 meV/atom.


one | VASP calculation (PBE) on crystalline TmAgAu4 at its relaxed geometry.

* spin magnetization: 0.0 μB per cell
* space group: F-43m
* calculated volume: 118.9 Å³/cell

abc: 5.519 5.519 5.519
angles: 60.00 60.00 60.00
Sites, in units of the cell vectors:
Tm1 0.000 0.000 0.000
Au1 0.625 0.625 0.126
Au2 0.625 0.126 0.625
Au3 0.625 0.625 0.625
Au4 0.126 0.625 0.625
Ag1 0.250 0.250 0.250


two | VASP calculation (PBE) on crystalline TmAgAu4 at its relaxed geometry.

* spin magnetization: 0.0 μB per cell
* space group: C2/m
* calculated volume: 117.0 Å³/cell

abc: 5.126 5.114 5.147
angles: 90.29 60.13 90.57
Sites, in units of the cell vectors:
Tm1 0.000 0.500 0.500
Ag1 0.500 0.000 0.500
Au1 0.334 0.500 0.832
Au2 0.666 0.500 0.168
Au3 0.168 0.000 0.164
Au4 0.832 0.000 0.836


Bottom line: two, by a margin of 67 meV/atom.


one | VASP calculation (PBE) on crystalline UAgAu at its relaxed geometry.

* spin magnetization: 0.0 μB per cell
* space group: R-3m
* calculated volume: 130.6 Å³/cell

abc: 3.641 3.641 11.570
angles: 80.95 80.95 60.00
Sites, in units of the cell vectors:
Au1 0.583 0.583 0.252
Au2 0.417 0.417 0.748
U1 0.312 0.312 0.063
U2 0.688 0.688 0.937
Ag1 0.861 0.861 0.417
Ag2 0.139 0.139 0.583


two | VASP calculation (PBE) on crystalline UAgAu at its relaxed geometry.

* spin magnetization: 2.6 μB per cell
* space group: I4mm
* calculated volume: 60.0 Å³/cell

abc: 2.926 2.926 7.308
angles: 101.55 101.55 90.00
Site moments in Bohr magnetons follow the coordinates.
Sites, in units of the cell vectors:
Au1 0.673 0.673 0.346  0.03
U1 0.003 0.003 0.005  2.32
Ag1 0.324 0.324 0.649  0.02


Bottom line: two, by a margin of 40 meV/atom.


one | VASP calculation (PBE) on crystalline VAg3Au at its relaxed geometry.

* spin magnetization: 3.3 μB per cell
* space group: Pm-3m
* calculated volume: 120.2 Å³/cell

abc: 4.935 4.935 4.935
angles: 90.00 90.00 90.00
Site moments in Bohr magnetons follow the coordinates.
Sites, in units of the cell vectors:
Au1 0.500 0.500 0.500  0.01
Ag1 0.000 0.500 0.000  0.11
Ag2 0.000 0.000 0.500  0.11
Ag3 0.500 0.000 0.000  0.11
V1 0.000 0.000 0.000  2.61


two | VASP calculation (PBE) on crystalline VAg3Au at its relaxed geometry.

* spin magnetization: 3.8 μB per cell
* space group: Pm-3m
* calculated volume: 132.3 Å³/cell

abc: 5.095 5.095 5.095
angles: 90.00 90.00 90.00
Site moments in Bohr magnetons follow the coordinates.
Sites, in units of the cell vectors:
Au1 0.000 0.000 0.000  0.02
Ag1 0.000 0.500 0.000  -0.01
Ag2 0.000 0.000 0.500  -0.01
Ag3 0.500 0.000 0.000  -0.01
V1 0.500 0.500 0.500  3.07


Bottom line: two, by a margin of 221 meV/atom.